Entry 1:
The following is a DFT calculation (GGA-PBE) of a geometry-optimized Cr2ReNi structure.

Summary:
ΔE_f: 0.7 eV per formula unit
M_tot: 0.987 μB per formula unit

Unit cell a=2.551 b=2.551 c=7.683 alpha=90.00 beta=90.00 gamma=90.00
Positions (direct):
Cr1 0.000 0.000 0.000
Cr2 0.500 0.500 0.242
Re1 0.500 0.500 0.732
Ni1 0.000 0.000 0.477

=====

Entry 2:
The following is a DFT calculation (GGA-PBE) of a geometry-optimized Mg5H3Ir2 structure.

Summary:
M_tot: 0.000 μB per formula unit

Unit cell a=4.292 b=5.050 c=7.681 alpha=94.57 beta=106.17 gamma=115.07
Positions (direct):
Mg1 0.000 0.000 0.000
Mg2 0.117 0.642 0.593
Mg3 0.542 0.326 0.757
Mg4 0.660 0.968 0.351
Mg5 0.829 0.483 0.174
H1 0.043 0.281 0.803
H2 0.330 0.485 0.175
H3 0.616 0.687 0.547
Ir1 0.284 0.609 0.959
Ir2 0.375 0.359 0.391

=====

Entry 3:
The following is a DFT calculation (GGA-PBE) of a geometry-optimized FeC4 structure.

Summary:
ΔE_f: 15.5 eV per formula unit
M_tot: 1.748 μB per formula unit

Unit cell a=3.691 b=3.691 c=3.691 alpha=90.00 beta=90.00 gamma=90.00
Positions (direct):
Fe1 0.000 0.000 0.000
C1 0.000 0.000 0.500
C2 0.000 0.500 0.000
C3 0.500 0.000 0.000
C4 0.500 0.500 0.500

=====

The records above give, respectively, electronic total energy values of -36.8, -38.7, -29.9 eV per cell.